1.
Here is an optimized crystal structure of SiMoRh2 from Alexandria via LeMat-Bulk. Energies are from GGA-PBEsol. Values from VASP.

Its symmetry is Amm2, No. 38. The value obtained for the density of states at the Fermi level is 4.091 states/eV/cell. The calculation puts the energy relative to the elements, uncorrected at -0.37 eV/atom.

Quantum ESPRESSO input file:
```
&SYSTEM
  ibrav = 0, nat = 4, ntyp = 3
/
ATOMIC_SPECIES
Mo 95.94 Mo.upf
Rh 102.91 Rh.upf
Si 28.09 Si.upf
CELL_PARAMETERS angstrom
-2.748 -0.190 0.107
0.281 -2.282 3.179
1.208 4.217 2.920
ATOMIC_POSITIONS crystal
Mo 0.434 0.500 0.743
Rh 0.056 0.000 0.988
Rh 0.694 0.500 0.263
Si 0.815 0.000 0.506
```



2.
Here is an optimized crystal structure of SiMoRh2 from Alexandria via LeMat-Bulk. Energies are from GGA-PBEsol. Values from VASP.

Its symmetry is F-43m, No. 216. The value obtained for the density of states at the Fermi level is 3.678 states/eV/cell. The calculation puts the energy relative to the elements, uncorrected at -0.27 eV/atom.

Quantum ESPRESSO input file:
```
&SYSTEM
  ibrav = 0, nat = 4, ntyp = 3
/
ATOMIC_SPECIES
Mo 95.94 Mo.upf
Rh 102.91 Rh.upf
Si 28.09 Si.upf
CELL_PARAMETERS angstrom
4.254 0.000 0.000
2.127 3.684 0.000
2.127 1.228 3.474
ATOMIC_POSITIONS crystal
Mo 0.500 0.500 0.500
Rh 0.000 0.000 0.000
Rh 0.250 0.250 0.250
Si 0.750 0.750 0.750
```



3.
Here is an optimized crystal structure of SiMoRh2 from Alexandria via LeMat-Bulk. Energies are from GGA-PBEsol. Values from VASP.

Its symmetry is Imm2, No. 44. The value obtained for the density of states at the Fermi level is 2.113 states/eV/cell. The calculation puts the energy relative to the elements, uncorrected at -0.44 eV/atom.

Quantum ESPRESSO input file:
```
&SYSTEM
  ibrav = 0, nat = 4, ntyp = 3
/
ATOMIC_SPECIES
Mo 95.94 Mo.upf
Rh 102.91 Rh.upf
Si 28.09 Si.upf
CELL_PARAMETERS angstrom
2.828 0.000 0.000
0.000 4.348 0.000
-1.414 -2.174 4.429
ATOMIC_POSITIONS crystal
Mo 0.226 0.726 0.451
Rh 0.997 0.997 0.993
Rh 0.784 0.284 0.568
Si 0.494 0.494 0.987
```



Question: Which value of energy relative to the elements, uncorrected does entry 2 give?
Answer: -0.27 eV/atom